Crystalline Ag5PbCl8 at its relaxed geometry. Source: the Alexandria database, functional PBE-GGA.

Its crystal system is cubic. The value obtained for the formation energy from raw total energies is -0.54 eV per atom. For the total energy, the calculation gives -161.3 eV/cell.

It has space group F-43m (No. 216), with a = 11.441 Å, b = 11.441 Å, c = 11.441 Å, α = 90.00°, β = 90.00° and γ = 90.00°. The inequivalent atoms are Ag at (0.000, 0.000, 0.000), Ag at (0.130, 0.130, 0.630), Pb at (0.250, 0.250, 0.250), Cl at (0.111, 0.111, 0.389) and Cl at (0.131, 0.131, 0.869).

***

Crystalline NaAg2HRu at its relaxed geometry. Source: the Alexandria database, functional PBE-GGA.

Its crystal system is tetragonal. For the total energy, the calculation gives -16.3 eV/cell.

It has space group P4/mmm (No. 123), with a = 4.116 Å, b = 4.116 Å, c = 4.356 Å, α = 90.00°, β = 90.00° and γ = 90.00°. The inequivalent atoms are Na at (0.000, 0.000, 0.000), Ag at (0.000, 0.500, 0.500), H at (0.000, 0.000, 0.500) and Ru at (0.500, 0.500, 0.000).

***

Crystalline Pm2NdMn at its relaxed geometry. Source: the Alexandria database, functional PBE-GGA.

Its crystal system is tetragonal. For the total energy, the calculation gives -22.8 eV/cell. Its polymorph energy (0 for the lowest one) is 0 meV/atom.

It has space group P4/mmm (No. 123), with a = 3.629 Å, b = 3.629 Å, c = 8.976 Å, α = 90.00°, β = 90.00° and γ = 90.00°. The inequivalent atoms are Pm at (0.000, 0.000, 0.201), Nd at (0.500, 0.500, 0.500) and Mn at (0.500, 0.500, 0.000).